Entry 1:
# Li2DyEr, optimized geometry, DFT GGA-PBE
# * uncorrected energy: -3.092 eV/atom
# * E above lowest polymorph: 0.0000 eV per atom
# * size of the total moment: 0.0 μB/f.u.
data_Li2DyEr
_chemical_formula_sum 'Li2 Dy1 Er1'
_space_group_name_H-M_alt 'P 4/m m m'
_space_group_IT_number 123
_space_group_name_Hall '-P 4 2'
_cell_length_a 3.6900
_cell_length_b 3.6900
_cell_length_c 7.3770
_cell_angle_alpha 90.00
_cell_angle_beta 90.00
_cell_angle_gamma 90.00
loop_
_atom_site_label
_atom_site_fract_x
_atom_site_fract_y
_atom_site_fract_z
Li1 0.0000 0.0000 0.2489
Dy1 0.5000 0.5000 0.5000
Er1 0.5000 0.5000 0.0000



Entry 2:
# Li4DyEr, optimized geometry, DFT GGA-PBE
# * uncorrected energy: -2.683 eV/atom
# * size of the total moment: 0.0 μB/f.u.
data_Li4DyEr
_chemical_formula_sum 'Li16 Dy4 Er4'
_space_group_name_H-M_alt 'F -4 3 m'
_space_group_IT_number 216
_space_group_name_Hall 'F -4 2 3'
_cell_length_a 8.2239
_cell_length_b 8.2239
_cell_length_c 8.2239
_cell_angle_alpha 90.00
_cell_angle_beta 90.00
_cell_angle_gamma 90.00
loop_
_atom_site_label
_atom_site_fract_x
_atom_site_fract_y
_atom_site_fract_z
Li1 0.1249 0.1249 0.1249
Dy1 0.0000 0.0000 0.5000
Er1 0.2500 0.2500 0.7500



Entry 3:
# LiDy2Er, optimized geometry, DFT GGA-PBE
# * uncorrected energy: -3.850 eV/atom
# * E above lowest polymorph: 0.0000 eV per atom
# * size of the total moment: 0.0 μB/f.u.
data_LiDy2Er
_chemical_formula_sum 'Li1 Dy2 Er1'
_space_group_name_H-M_alt 'P 4/m m m'
_space_group_IT_number 123
_space_group_name_Hall '-P 4 2'
_cell_length_a 3.5854
_cell_length_b 3.5854
_cell_length_c 8.7993
_cell_angle_alpha 90.00
_cell_angle_beta 90.00
_cell_angle_gamma 90.00
loop_
_atom_site_label
_atom_site_fract_x
_atom_site_fract_y
_atom_site_fract_z
Li1 0.0000 0.0000 0.0000
Dy1 0.5000 0.5000 0.2253
Er1 0.0000 0.0000 0.5000



Entry 4:
# LiDy2Er, optimized geometry, DFT GGA-PBE
# * uncorrected energy: -3.833 eV/atom
# * E above lowest polymorph: 0.0167 eV per atom
# * size of the total moment: 0.0 μB/f.u.
data_LiDy2Er
_chemical_formula_sum 'Li3 Dy6 Er3'
_space_group_name_H-M_alt 'R 3 m'
_space_group_IT_number 160
_space_group_name_Hall 'R 3 -2"'
_cell_length_a 3.4791
_cell_length_b 3.4791
_cell_length_c 33.4901
_cell_angle_alpha 90.00
_cell_angle_beta 90.00
_cell_angle_gamma 120.00
loop_
_atom_site_label
_atom_site_fract_x
_atom_site_fract_y
_atom_site_fract_z
Li1 0.0000 0.0000 0.0000
Dy1 0.0000 0.0000 0.5844
Dy2 0.0000 0.0000 0.7486
Er1 0.0000 0.0000 0.1665



Entry 5:
# LiDy2Er, optimized geometry, DFT GGA-PBE
# * uncorrected energy: -3.776 eV/atom
# * E above lowest polymorph: 0.0735 eV per atom
# * size of the total moment: 0.0 μB/f.u.
data_LiDy2Er
_chemical_formula_sum 'Li1 Dy2 Er1'
_space_group_name_H-M_alt 'P 4/m m m'
_space_group_IT_number 123
_space_group_name_Hall '-P 4 2'
_cell_length_a 5.5421
_cell_length_b 5.5421
_cell_length_c 3.7421
_cell_angle_alpha 90.00
_cell_angle_beta 90.00
_cell_angle_gamma 90.00
loop_
_atom_site_label
_atom_site_fract_x
_atom_site_fract_y
_atom_site_fract_z
Li1 0.0000 0.0000 0.0000
Dy1 0.0000 0.5000 0.5000
Er1 0.5000 0.5000 0.0000



Entry 6:
# Li2DyEr, optimized geometry, DFT GGA-PBE
# * uncorrected energy: -3.090 eV/atom
# * E above lowest polymorph: 0.0013 eV per atom
# * size of the total moment: 0.0 μB/f.u.
data_Li2DyEr
_chemical_formula_sum 'Li8 Dy4 Er4'
_space_group_name_H-M_alt 'F m -3 m'
_space_group_IT_number 225
_space_group_name_Hall '-F 4 2 3'
_cell_length_a 7.3818
_cell_length_b 7.3818
_cell_length_c 7.3818
_cell_angle_alpha 90.00
_cell_angle_beta 90.00
_cell_angle_gamma 90.00
loop_
_atom_site_label
_atom_site_fract_x
_atom_site_fract_y
_atom_site_fract_z
Li1 0.2500 0.2500 0.2500
Dy1 0.0000 0.0000 0.0000
Er1 0.0000 0.0000 0.5000



Entry 7:
# LiDy5Er4, optimized geometry, DFT GGA-PBE
# * uncorrected energy: -4.276 eV/atom
# * size of the total moment: 0.0 μB/f.u.
data_LiDy5Er4
_chemical_formula_sum 'Li1 Dy5 Er4'
_space_group_name_H-M_alt 'P 4/m m m'
_space_group_IT_number 123
_space_group_name_Hall '-P 4 2'
_cell_length_a 3.5414
_cell_length_b 3.5414
_cell_length_c 23.8138
_cell_angle_alpha 90.00
_cell_angle_beta 90.00
_cell_angle_gamma 90.00
loop_
_atom_site_label
_atom_site_fract_x
_atom_site_fract_y
_atom_site_fract_z
Li1 0.0000 0.0000 0.0000
Dy1 0.5000 0.5000 0.0848
Dy2 0.5000 0.5000 0.2914
Dy3 0.5000 0.5000 0.5000
Er1 0.0000 0.0000 0.1870
Er2 0.0000 0.0000 0.3957



Entry 8:
# LiDy2Er, optimized geometry, DFT GGA-PBE
# * uncorrected energy: -3.749 eV/atom
# * E above lowest polymorph: 0.1009 eV per atom
# * size of the total moment: 0.0 μB/f.u.
data_LiDy2Er
_chemical_formula_sum 'Li4 Dy8 Er4'
_space_group_name_H-M_alt 'F m -3 m'
_space_group_IT_number 225
_space_group_name_Hall '-F 4 2 3'
_cell_length_a 7.7028
_cell_length_b 7.7028
_cell_length_c 7.7028
_cell_angle_alpha 90.00
_cell_angle_beta 90.00
_cell_angle_gamma 90.00
loop_
_atom_site_label
_atom_site_fract_x
_atom_site_fract_y
_atom_site_fract_z
Li1 0.0000 0.0000 0.0000
Dy1 0.2500 0.2500 0.2500
Er1 0.0000 0.0000 0.5000



Entry 9:
# Li2DyEr, optimized geometry, DFT GGA-PBE
# * uncorrected energy: -2.954 eV/atom
# * E above lowest polymorph: 0.1377 eV per atom
# * size of the total moment: 0.0 μB/f.u.
data_Li2DyEr
_chemical_formula_sum 'Li6 Dy3 Er3'
_space_group_name_H-M_alt 'R -3 m'
_space_group_IT_number 166
_space_group_name_Hall '-R 3 2"'
_cell_length_a 3.2970
_cell_length_b 3.2970
_cell_length_c 35.2875
_cell_angle_alpha 90.00
_cell_angle_beta 90.00
_cell_angle_gamma 120.00
loop_
_atom_site_label
_atom_site_fract_x
_atom_site_fract_y
_atom_site_fract_z
Li1 0.0000 0.0000 0.0880
Dy1 0.0000 0.0000 0.5000
Er1 0.0000 0.0000 0.0000



Entry 10:
# LiDy2Er, optimized geometry, DFT GGA-PBE
# * uncorrected energy: -3.746 eV/atom
# * E above lowest polymorph: 0.1035 eV per atom
# * size of the total moment: 0.0 μB/f.u.
data_LiDy2Er
_chemical_formula_sum 'Li3 Dy6 Er3'
_space_group_name_H-M_alt 'R -3 m'
_space_group_IT_number 166
_space_group_name_Hall '-R 3 2"'
_cell_length_a 3.4415
_cell_length_b 3.4415
_cell_length_c 36.2483
_cell_angle_alpha 90.00
_cell_angle_beta 90.00
_cell_angle_gamma 120.00
loop_
_atom_site_label
_atom_site_fract_x
_atom_site_fract_y
_atom_site_fract_z
Li1 0.0000 0.0000 0.0000
Dy1 0.0000 0.0000 0.0891
Er1 0.0000 0.0000 0.5000



Entry 11:
# Li2Dy2ErMg5, optimized geometry, DFT GGA-PBE
# * uncorrected energy: -2.576 eV/atom
# * size of the total moment: 0.0 μB/f.u.
data_Li2Dy2ErMg5
_chemical_formula_sum 'Li4 Dy4 Er2 Mg10'
_space_group_name_H-M_alt 'P 4/m b m'
_space_group_IT_number 127
_space_group_name_Hall '-P 4 2ab'
_cell_length_a 10.5186
_cell_length_b 10.5186
_cell_length_c 4.4125
_cell_angle_alpha 90.00
_cell_angle_beta 90.00
_cell_angle_gamma 90.00
loop_
_atom_site_label
_atom_site_fract_x
_atom_site_fract_y
_atom_site_fract_z
Li1 0.1151 0.3849 0.0000
Dy1 0.1798 0.6798 0.0000
Er1 0.0000 0.0000 0.0000
Mg1 0.0000 0.5000 0.5000
Mg2 0.0635 0.2129 0.5000



Entry 12:
# LiDyErMg, optimized geometry, DFT GGA-PBE
# * uncorrected energy: -3.117 eV/atom
# * size of the total moment: 0.0 μB/f.u.
data_LiDyErMg
_chemical_formula_sum 'Li4 Dy4 Er4 Mg4'
_space_group_name_H-M_alt 'F -4 3 m'
_space_group_IT_number 216
_space_group_name_Hall 'F -4 2 3'
_cell_length_a 7.4803
_cell_length_b 7.4803
_cell_length_c 7.4803
_cell_angle_alpha 90.00
_cell_angle_beta 90.00
_cell_angle_gamma 90.00
loop_
_atom_site_label
_atom_site_fract_x
_atom_site_fract_y
_atom_site_fract_z
Li1 0.0000 0.0000 0.0000
Dy1 0.2500 0.2500 0.7500
Er1 0.2500 0.2500 0.2500
Mg1 0.0000 0.0000 0.5000